This record from the Alexandria database describes a relaxed CaErMo2O8 crystal. The functional is PBE+U.

Unit cell a=5.234 b=5.234 c=11.363 alpha=90.00 beta=90.00 gamma=90.00
Space group I-4 (No. 82)
Inequivalent atoms, fractional coordinates:
Ca (0.000, 0.000, 0.000) x2
Er (0.000, 0.500, 0.750) x2
Mo (0.000, 0.000, 0.500) x2
Mo (0.000, 0.500, 0.250) x2
O (0.159, 0.244, 0.586) x8
O (0.177, 0.759, 0.169) x8

Calculated total energy in eV per atom: -7.4015
Total magnetic moment in μB/atom: 0.08